(1)
The following is a PBE calculation of a relaxed structure of CuBiS, from the Alexandria database.

Cell and atoms, written as POSCAR:
```
CuBiS
1.0
4.381 0.000 0.000
0.000 4.346 0.000
-0.114 0.000 6.849
Cu Bi S
2 2 2
Cartesian
0.000 0.000 0.000 Cu
1.551 2.173 6.772 Cu
1.791 0.000 3.055 Bi
4.108 2.173 3.696 Bi
2.019 0.000 5.778 S
3.902 2.173 0.973 S
```

## Properties
Space-group type: Pm
Density: 7.758 g/cm³
Raw formation energy: -60 meV per atom
Magnetic moment: 0.000 μB per atom

(2)
The following is a PBE calculation of a relaxed structure of CuBiS3, from the Alexandria database.

Cell and atoms, written as POSCAR:
```
CuBiS3
1.0
4.564 0.000 0.000
0.000 4.564 0.000
0.000 0.000 4.564
Cu Bi S
1 1 3
Cartesian
0.000 0.000 0.000 Cu
2.282 2.282 2.282 Bi
0.000 0.000 2.282 S
0.000 2.282 0.000 S
2.282 0.000 0.000 S
```

## Properties
Space-group type: Pm-3m
Density: 6.441 g/cm³
Offset from the most stable computed form: 0.3658 eV/atom
Raw formation energy: 198 meV per atom
Magnetic moment: 0.000 μB per atom